1.
WSCl2 after structural relaxation, computed with GGA-PBE.

Calculated values
**ΔE to the lowest computed polymorph**: 452 meV/atom
**DOS(E_F)**: 0.638 states/eV/atom
**Crystal system**: trigonal
**Formation energy (no corrections)**: 0.251 eV per atom

Lattice parameters (Å, degrees): 3.0116 3.0116 31.3306 90.00 90.00 120.00
Space group R-3m (No. 166, hexagonal axes)
Unique sites:
W 0.0000 0.0000 0.0000 [3 per cell]
S 0.0000 0.0000 0.5000 [3 per cell]
Cl 0.0000 0.0000 0.3902 [6 per cell]

=====

2.
WSCl2 after structural relaxation, computed with GGA-PBE.

Calculated values
**ΔE to the lowest computed polymorph**: 651 meV/atom
**DOS(E_F)**: 0.909 states/eV/atom
**Crystal system**: trigonal
**Formation energy (no corrections)**: 0.450 eV per atom

Lattice parameters (Å, degrees): 3.0070 3.0070 35.9971 90.00 90.00 120.00
Space group R-3m (No. 166, hexagonal axes)
Unique sites:
W 0.0000 0.0000 0.0000 [3 per cell]
S 0.0000 0.0000 0.5000 [3 per cell]
Cl 0.0000 0.0000 0.0620 [6 per cell]

=====

3.
WSCl after structural relaxation, computed with GGA-PBE.

Calculated values
**DOS(E_F)**: 0.026 states/eV/atom
**Crystal system**: monoclinic
**Formation energy (no corrections)**: -0.674 eV per atom

Lattice parameters (Å, degrees): 12.026 3.326 7.932 90.00 115.52 90.00
Space group C2/m (No. 12)
Unique sites:
W 0.159 0.000 0.476 [4 per cell]
S 0.149 0.500 0.254 [4 per cell]
Cl 0.077 0.000 0.711 [4 per cell]

=====

4.
YWSCl2 after structural relaxation, computed with GGA-PBE.

Calculated values
**ΔE to the lowest computed polymorph**: 107 meV/atom
**DOS(E_F)**: 0.649 states/eV/atom
**Crystal system**: tetragonal
**Formation energy (no corrections)**: -0.020 eV per atom

Lattice parameters (Å, degrees): 5.140 5.140 5.443 90.00 90.00 90.00
Space group P4/mmm (No. 123)
Unique sites:
Y 0.000 0.000 0.000 [1 per cell]
W 0.500 0.500 0.500 [1 per cell]
S 0.000 0.000 0.500 [1 per cell]
Cl 0.000 0.500 0.000 [2 per cell]

=====

5.
YWSCl2 after structural relaxation, computed with GGA-PBE.

Calculated values
**ΔE to the lowest computed polymorph**: 0 meV/atom
**DOS(E_F)**: 1.139 states/eV/atom
**Crystal system**: tetragonal
**Formation energy (no corrections)**: -0.128 eV per atom

Lattice parameters (Å, degrees): 4.849 4.849 4.625 90.00 90.00 90.00
Space group P4/mmm (No. 123)
Unique sites:
Y 0.000 0.000 0.000 [1 per cell]
W 0.500 0.500 0.500 [1 per cell]
S 0.500 0.500 0.000 [1 per cell]
Cl 0.000 0.500 0.500 [2 per cell]

=====

6.
ZrWSCl2 after structural relaxation, computed with GGA-PBE.

Calculated values
**ΔE to the lowest computed polymorph**: 73 meV/atom
**DOS(E_F)**: 1.256 states/eV/atom
**Crystal system**: tetragonal
**Formation energy (no corrections)**: 0.400 eV per atom

Lattice parameters (Å, degrees): 4.854 4.854 4.604 90.00 90.00 90.00
Space group P4/mmm (No. 123)
Unique sites:
Zr 0.000 0.000 0.000 [1 per cell]
W 0.500 0.500 0.500 [1 per cell]
S 0.500 0.500 0.000 [1 per cell]
Cl 0.000 0.500 0.500 [2 per cell]

=====

Which formula does entry 3 have? WSCl

=====

Look up the formation energy (no corrections) of the third one. -0.674 eV per atom